{"formula": "YNi2Te", "functional": "SCAN", "state": "PBEsol geometry", "formation_energy_uncorrected_mev_per_atom": -175, "density_g_cm3": 7.97, "spacegroup": "I-4m2, No. 119", "m_tot_mub_per_cell": 0.00, "dos_ef_per_ev_cell": 3.3, "lattice": [[3.9035, 0.0000, 0.0000], [0.0000, 3.9035, 0.0000], [-1.9517, -1.9517, 4.5680]], "species": ["Te", "Ni", "Ni", "Y"], "frac_coords": [[0.5000, 0.5000, 0.0000], [0.0000, 0.0000, 0.0000], [0.7500, 0.2500, 0.5000], [0.2500, 0.7500, 0.5000]]}

---

{"formula": "TbVO3", "functional": "SCAN", "state": "PBEsol geometry", "formation_energy_uncorrected_mev_per_atom": -3337, "density_g_cm3": 7.79, "spacegroup": "Pnma, No. 62", "m_tot_mub_per_cell": 8.00, "dos_ef_per_ev_cell": 2.6, "lattice": [[5.2139, 0.0000, 0.0000], [0.0000, 5.5936, 0.0000], [0.0000, 0.0000, 7.5350]], "species": ["Tb", "Tb", "Tb", "Tb", "O", "O", "O", "O", "O", "O", "O", "O", "O", "O", "O", "O", "V", "V", "V", "V"], "frac_coords": [[0.5201, 0.5704, 0.7500], [0.4799, 0.4296, 0.2500], [0.0201, 0.9296, 0.2500], [0.9799, 0.0704, 0.7500], [0.3080, 0.6979, 0.0541], [0.1920, 0.1979, 0.4459], [0.3926, 0.9633, 0.7500], [0.8080, 0.8021, 0.5541], [0.3080, 0.6979, 0.4459], [0.1074, 0.4633, 0.7500], [0.1920, 0.1979, 0.0541], [0.8926, 0.5367, 0.2500], [0.8080, 0.8021, 0.9459], [0.6920, 0.3021, 0.5541], [0.6920, 0.3021, 0.9459], [0.6074, 0.0367, 0.2500], [0.5000, 0.0000, 0.0000], [0.0000, 0.5000, 0.0000], [0.5000, 0.0000, 0.5000], [0.0000, 0.5000, 0.5000]]}